1.
Here is LuZnSi after structural relaxation from OQMD. Energies are from GGA-PBE.

```
LuZnSi
1.0
6.494 0.000 0.000
0.000 6.494 0.000
0.000 0.000 6.494
Lu Zn Si
4 4 4
direct
0.000 0.000 0.000
0.000 0.500 0.500
0.500 0.000 0.500
0.500 0.500 0.000
0.250 0.250 0.250
0.250 0.750 0.750
0.750 0.250 0.750
0.750 0.750 0.250
0.250 0.250 0.750
0.250 0.750 0.250
0.750 0.250 0.250
0.750 0.750 0.750
```

## Properties
- space-group type = No. 216
- total magnetic moment (Bohr magnetons per cell) = 0.0
- DFT total energy (eV per cell) = -44.3
- crystal system = cubic

***

2.
Here is RbMgFe after structural relaxation from OQMD. Energies are from GGA-PBE.

```
RbMgFe
1.0
7.447 0.000 0.000
0.000 7.447 0.000
0.000 0.000 7.447
Rb Mg Fe
4 4 4
direct
0.000 0.000 0.000
0.000 0.500 0.500
0.500 0.000 0.500
0.500 0.500 0.000
0.000 0.000 0.500
0.000 0.500 0.000
0.500 0.000 0.000
0.500 0.500 0.500
0.250 0.250 0.750
0.250 0.750 0.250
0.750 0.250 0.250
0.750 0.750 0.750
```

## Properties
- space-group type = No. 216
- total magnetic moment (Bohr magnetons per cell) = 12.2
- DFT total energy (eV per cell) = -29.9
- E above lowest polymorph (meV/atom) = 0.0
- crystal system = cubic